[1]
Here is an optimized crystal structure of TiGaW from Alexandria via LeMat-Bulk. Energies are from PBE-GGA.

Properties
electronic total energy: -24.28 eV/cell
spin magnetization: 0.0 μB/cell
D(E_F): 3.3 states/eV/cell
energy above the lowest structure with this stoichiometry: 0.00 eV per formula unit
DFT formation energy: -0.13 eV per atom

Cell lengths 3.3169, 3.3169, 4.8966 Å; angles 109.80, 109.80, 90.00 degrees
Atoms (fractional coordinates):
Ti (0.2861, 0.2861, 0.5722)
Ga (0.6147, 0.6147, 0.2294)
W (0.9492, 0.9492, 0.8984)

=====

[2]
Here is an optimized crystal structure of ErMgGa from Alexandria via LeMat-Bulk. Energies are from PBE-GGA.

Properties
electronic total energy: -10.27 eV/cell
spin magnetization: 0.0 μB/cell
D(E_F): 2.4 states/eV/cell
DFT formation energy: -0.36 eV per atom

Cell lengths 3.5497, 4.6722, 4.6722 Å; angles 120.00, 90.00, 90.00 degrees
Atoms (fractional coordinates):
Mg (0.1673, 0.0000, 0.0000)
Er (0.6670, 0.6667, 0.3333)
Ga (0.1657, 0.3333, 0.6667)

=====

[3]
Here is an optimized crystal structure of WCl from Alexandria via LeMat-Bulk. Energies are from PBE-GGA.

Properties
electronic total energy: -26.95 eV/cell
spin magnetization: 0.0 μB/cell
D(E_F): 3.2 states/eV/cell
uncorrected formation energy: 661 meV/atom
energy above the lowest structure with this stoichiometry: 1.81 eV per formula unit

Cell lengths 2.9104, 4.1551, 6.6207 Å; angles 90.00, 90.00, 90.00 degrees
Atoms (fractional coordinates):
Cl (0.5000, 0.5000, 0.6563)
Cl (0.0000, 0.0000, 0.0937)
W (0.5000, 0.5000, 0.2932)
W (0.0000, 0.0000, 0.4568)

=====

[4]
Here is an optimized crystal structure of CuSnHg2 from Alexandria via LeMat-Bulk. Energies are from PBE-GGA.

Properties
electronic total energy: -8.02 eV/cell
spin magnetization: 0.0 μB/cell
D(E_F): 1.0 states/eV/cell
DFT formation energy: 0.17 eV per atom

Cell lengths 3.2803, 3.2803, 8.1296 Å; angles 90.00, 90.00, 90.00 degrees
Atoms (fractional coordinates):
Hg (0.0000, 0.0000, 0.1999)
Hg (0.0000, 0.0000, 0.8001)
Cu (0.5000, 0.5000, 0.0000)
Sn (0.5000, 0.5000, 0.5000)

=====

> Among the records above, which one has the highest electronic total energy?

CuSnHg2

=====

> What is the formula in the fourth record?

CuSnHg2

=====

> Among the records above, which one has the lowest electronic total energy?

WCl

=====

> Which value of spin magnetization does entry 1 give?

0.0 μB/cell